[1]
Entry from Alexandria: a relaxed structure of Mg2MnSe (PBE).

The structure belongs to space group F-43m (No. 216); the cell edges are 6.733, 6.733 and 6.733 Å and the angles 90.00°, 90.00° and 90.00°. The inequivalent atoms are Mg at (0.000, 0.000, 0.000), Mg at (0.250, 0.250, 0.250), Mn at (0.000, 0.000, 0.500) and Se at (0.250, 0.250, 0.750).

The total moment comes out at 12.24 μB per cell. As for the calculated volume: 305.2 Å³/cell. The calculation puts the formation energy without anion corrections at 0.155 eV/atom.

=====

[2]
Entry from Alexandria: a relaxed structure of LaGa4IrAu2 (PBE).

The structure belongs to space group R-3m (No. 166, hexagonal axes); the cell edges are 4.4015, 4.4015 and 29.5025 Å and the angles 90.00°, 90.00° and 120.00°. The inequivalent atoms are La at (0.0000, 0.0000, 0.0000), Ga at (0.0000, 0.0000, 0.1421), Ga at (0.0000, 0.0000, 0.4141), Ir at (0.0000, 0.0000, 0.5000) and Au at (0.0000, 0.0000, 0.2696).

The total moment comes out at 0.00 μB per cell. As for the calculated volume: 495.0 Å³/cell. The calculated formation energy comes out at -3.6 eV per formula unit.

=====

[3]
Entry from Alexandria: a relaxed structure of LuZrPdPb (PBE).

The structure belongs to space group F-43m (No. 216); the cell edges are 7.105, 7.105 and 7.105 Å and the angles 90.00°, 90.00° and 90.00°. The inequivalent atoms are Lu at (0.000, 0.000, 0.000), Zr at (0.000, 0.000, 0.500), Pd at (0.250, 0.250, 0.250) and Pb at (0.250, 0.250, 0.750).

The total moment comes out at 4.79 μB per cell. As for the calculated volume: 358.7 Å³/cell. The calculated formation energy comes out at -1.6 eV per formula unit.

=====

[4]
Entry from Alexandria: a relaxed structure of Zr2TlGa (PBE).

The structure belongs to space group Cm (No. 8); the cell edges are 5.977, 3.184 and 9.618 Å and the angles 90.00°, 104.08° and 90.00°. The inequivalent atoms are Zr at (0.000, 0.000, 0.000), Zr at (0.212, 0.000, 0.543), Tl at (0.430, 0.000, 0.272) and Ga at (0.106, 0.500, 0.772).

The total moment comes out at 0.00 μB per cell. As for the calculated volume: 177.5 Å³/cell. The calculated formation energy comes out at -0.6 eV per formula unit.

=====

[5]
Entry from Alexandria: a relaxed structure of TmSi2AgO6 (PBE).

The structure belongs to space group C2/c (No. 15); the cell edges are 10.252, 9.688 and 5.463 Å and the angles 90.00°, 107.49° and 90.00°. The inequivalent atoms are Tm at (0.000, 0.115, 0.250), Si at (0.207, 0.420, 0.248), Ag at (0.000, 0.295, 0.750), O at (0.125, 0.068, 0.650), O at (0.141, 0.267, 0.188) and O at (0.151, 0.490, 0.477).

The total moment comes out at 0.00 μB per cell. As for the calculated volume: 517.5 Å³/cell. The calculation puts the formation energy without anion corrections at -2.611 eV/atom.

=====

[6]
Entry from Alexandria: a relaxed structure of Li2PRh (PBE).

The structure belongs to space group P2/m (No. 10); the cell edges are 2.821, 3.966 and 4.690 Å and the angles 90.00°, 90.68° and 90.00°. The inequivalent atoms are Li at (0.006, 0.000, 0.251), P at (0.500, 0.500, 0.500) and Rh at (0.500, 0.500, 0.000).

The total moment comes out at 0.00 μB per cell. As for the calculated volume: 52.5 Å³/cell. The calculated formation energy comes out at -1.7 eV per formula unit.

=====

[7]
Entry from Alexandria: a relaxed structure of Ba2LiCuPb (PBE).

The structure belongs to space group P4/mmm (No. 123); the cell edges are 6.740, 6.740 and 5.135 Å and the angles 90.00°, 90.00° and 90.00°. The inequivalent atoms are Ba at (0.000, 0.500, 0.000), Li at (0.000, 0.000, 0.500), Cu at (0.500, 0.500, 0.500) and Pb at (0.000, 0.000, 0.000).

The total moment comes out at 0.00 μB per cell. As for the calculated volume: 233.2 Å³/cell. The calculated formation energy comes out at 0.7 eV per formula unit.

=====

[8]
Entry from Alexandria: a relaxed structure of NdTmMgPa (PBE).

The structure belongs to space group F-43m (No. 216); the cell edges are 7.651, 7.651 and 7.651 Å and the angles 90.00°, 90.00° and 90.00°. The inequivalent atoms are Nd at (0.000, 0.000, 0.000), Tm at (0.000, 0.000, 0.500), Mg at (0.250, 0.250, 0.250) and Pa at (0.250, 0.250, 0.750).

The total moment comes out at 0.00 μB per cell. As for the calculated volume: 447.8 Å³/cell. The calculated formation energy comes out at 1.4 eV per formula unit.

=====

[9]
Entry from Alexandria: a relaxed structure of AcPbI (PBE).

The structure belongs to space group I4mm (No. 107); the cell edges are 4.227, 4.227 and 12.333 Å and the angles 90.00°, 90.00° and 90.00°. The inequivalent atoms are Ac at (0.000, 0.000, 0.000), Pb at (0.000, 0.000, 0.686) and I at (0.000, 0.000, 0.368).

The total moment comes out at 0.00 μB per cell. As for the calculated volume: 220.4 Å³/cell. The calculation puts the formation energy without anion corrections at -0.573 eV/atom.

=====

[10]
Entry from Alexandria: a relaxed structure of NdZrZnGa (PBE).

The structure belongs to space group F-43m (No. 216); the cell edges are 7.039, 7.039 and 7.039 Å and the angles 90.00°, 90.00° and 90.00°. The inequivalent atoms are Nd at (0.000, 0.000, 0.000), Zr at (0.000, 0.000, 0.500), Zn at (0.250, 0.250, 0.750) and Ga at (0.250, 0.250, 0.250).

The total moment comes out at 0.00 μB per cell. As for the calculated volume: 348.7 Å³/cell. The calculated formation energy comes out at -1.3 eV per formula unit.

=====

[11]
Entry from Alexandria: a relaxed structure of NdEuZnRu (PBE).

The structure belongs to space group F-43m (No. 216); the cell edges are 7.164, 7.164 and 7.164 Å and the angles 90.00°, 90.00° and 90.00°. The inequivalent atoms are Nd at (0.000, 0.000, 0.000), Eu at (0.000, 0.000, 0.500), Zn at (0.250, 0.250, 0.250) and Ru at (0.250, 0.250, 0.750).

The total moment comes out at 27.53 μB per cell. As for the calculated volume: 367.7 Å³/cell. The calculated formation energy comes out at -0.4 eV per formula unit.

=====

[12]
Entry from Alexandria: a relaxed structure of Dy2Hf3Ge4 (PBE).

The structure belongs to space group P2_1/c (No. 14); the cell edges are 7.400, 7.383 and 7.209 Å and the angles 90.00°, 109.87° and 90.00°. The inequivalent atoms are Dy at (0.188, 0.172, 0.063), Hf at (0.252, 0.673, 0.248), Hf at (0.500, 0.000, 0.500), Ge at (0.085, 0.536, 0.853) and Ge at (0.488, 0.134, 0.862).

The total moment comes out at 0.00 μB per cell. As for the calculated volume: 370.4 Å³/cell. The calculated formation energy comes out at -7.4 eV per formula unit.